First-principles (GGA+U) data for a geometry-optimized VCuO2 structure, as listed in the Alexandria database.

Cell lengths 2.9228, 5.0430, 6.6294 Å; angles 96.87, 102.68, 106.29 degrees
Closest atoms and distances in Å follow each position.
Space group P1 (No. 1)
Unique sites:
1 V 0.0000 0.0000 0.0000 [1 per cell]  3 O 1.80-1.97
2 V 0.4114 0.5826 0.2377 [1 per cell]  5 O 1.98-2.12
3 Cu 0.0886 0.6170 0.6361 [1 per cell]  1 O 2.06
4 Cu 0.3553 0.2034 0.5585 [1 per cell]  3 O 2.07-2.16
5 O 0.0766 0.8622 0.2956 [1 per cell]  3 V 1.98-2.14, 1 Cu 2.13
6 O 0.3449 0.7219 0.9597 [1 per cell]  3 V 1.97-2.04, 1 Cu 2.06
7 O 0.6987 0.2798 0.1189 [1 per cell]  4 V 2.03-2.12
8 O 0.8711 0.0185 0.7250 [1 per cell]  1 V 1.80

Volume = 89.8 Å³ per cell
Calculated total energy = -52.444 eV per cell
Spin magnetization = 3.09 μB/cell